Entry 1:
Entry from Alexandria: a geometry-optimized NaZnCd structure (GGA-PBE).

Output
Total magnetic moment   0.000 μB/atom
SG   P-6m2
Final energy   -1.200 eV/atom

Cell lengths 3.1632, 4.9217, 4.9217 Å; angles 120.00, 90.00, 90.00 degrees
Fractional coordinates of all 3 atoms:
Na  0.6670  0.3333  0.6667
Zn  0.1657  0.6667  0.3333
Cd  0.1673  0.0000  0.0000

Entry 2:
Entry from Alexandria: a geometry-optimized Na2Zn2Cd structure (GGA-PBE).

Output
Total magnetic moment   0.000 μB/atom
SG   I4/mmm
Final energy   -1.170 eV/atom

Cell lengths 3.6161, 3.6161, 10.0057 Å; angles 79.59, 79.59, 90.00 degrees
Fractional coordinates of all 5 atoms:
Na  0.3882  0.3882  0.2236
Na  0.6118  0.6118  0.7764
Zn  0.7500  0.2500  0.5000
Zn  0.2500  0.7500  0.5000
Cd  0.0000  0.0000  0.0000

Entry 3:
Entry from Alexandria: a geometry-optimized NaZn10Cd structure (GGA-PBE).

Output
Total magnetic moment   0.000 μB/atom
SG   Pmmm
Final energy   -1.221 eV/atom

Cell lengths 4.3274, 5.2614, 9.1268 Å; angles 90.00, 90.00, 90.00 degrees
Fractional coordinates of all 12 atoms:
Na  0.0000  0.5000  0.5000
Zn  0.0000  0.0000  0.3263
Zn  0.0000  0.5000  0.8367
Zn  0.0000  0.5000  0.1633
Zn  0.0000  0.0000  0.6737
Zn  0.5000  0.0000  0.5000
Zn  0.5000  0.5000  0.0000
Zn  0.5000  0.2533  0.2525
Zn  0.5000  0.7467  0.7475
Zn  0.5000  0.7467  0.2525
Zn  0.5000  0.2533  0.7475
Cd  0.0000  0.0000  0.0000

Entry 4:
Entry from Alexandria: a geometry-optimized NaZn4Cd12 structure (GGA-PBE).

Output
Total magnetic moment   0.000 μB/atom
SG   Im-3
Final energy   -0.887 eV/atom

Cell lengths 8.2641, 8.2641, 8.2641 Å; angles 109.47, 109.47, 109.47 degrees
Fractional coordinates of all 17 atoms:
Na  0.0000  0.0000  0.0000
Zn  0.0000  0.5000  0.0000
Zn  0.5000  0.0000  0.0000
Zn  0.5000  0.5000  0.5000
Zn  0.0000  0.0000  0.5000
Cd  0.8444  0.3445  0.1889
Cd  0.3445  0.5002  0.1556
Cd  0.8111  0.1556  0.6555
Cd  0.3445  0.1889  0.8444
Cd  0.1889  0.8444  0.3445
Cd  0.6555  0.4998  0.8444
Cd  0.5002  0.1556  0.3445
Cd  0.4998  0.8444  0.6555
Cd  0.6555  0.8111  0.1556
Cd  0.8444  0.6555  0.4998
Cd  0.1556  0.3445  0.5002
Cd  0.1556  0.6555  0.8111

Entry 5:
Entry from Alexandria: a geometry-optimized Na3Zn4Cd4 structure (GGA-PBE).

Output
Total magnetic moment   0.000 μB/atom
SG   Immm
Final energy   -1.163 eV/atom

Cell lengths 4.7514, 7.2490, 8.5815 Å; angles 114.98, 106.07, 90.00 degrees
Fractional coordinates of all 11 atoms:
Na  0.1276  0.1276  0.2552
Na  0.8724  0.8724  0.7448
Na  0.0000  0.5000  0.0000
Zn  0.3260  0.1440  0.6521
Zn  0.6740  0.4919  0.3479
Zn  0.6740  0.8560  0.3479
Zn  0.3260  0.5081  0.6521
Cd  0.2182  0.7182  0.4363
Cd  0.7818  0.2818  0.5637
Cd  0.5000  0.7992  0.0000
Cd  0.5000  0.2008  0.0000

Entry 6:
Entry from Alexandria: a geometry-optimized Na12ZnCd6 structure (GGA-PBE).

Output
Total magnetic moment   0.000 μB/atom
SG   R-3
Final energy   -1.244 eV/atom

Cell lengths 8.1223, 8.1223, 8.1223 Å; angles 87.40, 87.40, 87.40 degrees
Fractional coordinates of all 19 atoms:
Na  0.4745  0.1932  0.5713
Na  0.1932  0.5713  0.4745
Na  0.5713  0.4745  0.1932
Na  0.5255  0.8068  0.4287
Na  0.8068  0.4287  0.5255
Na  0.4287  0.5255  0.8068
Na  0.8502  0.9696  0.6242
Na  0.3758  0.1498  0.0304
Na  0.0304  0.3758  0.1498
Na  0.1498  0.0304  0.3758
Na  0.6242  0.8502  0.9696
Na  0.9696  0.6242  0.8502
Zn  0.0000  0.0000  0.0000
Cd  0.1063  0.2506  0.7441
Cd  0.7494  0.2559  0.8937
Cd  0.2559  0.8937  0.7494
Cd  0.8937  0.7494  0.2559
Cd  0.2506  0.7441  0.1063
Cd  0.7441  0.1063  0.2506

Entry 7:
Entry from Alexandria: a geometry-optimized Na3Zn7Cd2 structure (GGA-PBE).

Output
Total magnetic moment   0.000 μB/atom
SG   R-3m
Final energy   -1.256 eV/atom

Cell lengths 5.4370, 5.4370, 9.7107 Å; angles 73.74, 73.74, 60.00 degrees
Fractional coordinates of all 12 atoms:
Na  0.0000  0.0000  0.0000
Na  0.8554  0.8554  0.4337
Na  0.1446  0.1446  0.5663
Zn  0.5000  0.5000  0.5000
Zn  0.9165  0.4092  0.2652
Zn  0.4092  0.9165  0.2652
Zn  0.4092  0.4092  0.2652
Zn  0.0835  0.5908  0.7348
Zn  0.5908  0.5908  0.7348
Zn  0.5908  0.0835  0.7348
Cd  0.6657  0.6657  0.0030
Cd  0.3343  0.3343  0.9970

Entry 8:
Entry from Alexandria: a geometry-optimized Na2ZnCd3 structure (GGA-PBE).

Output
Total magnetic moment   0.000 μB/atom
SG   Pmma
Final energy   -1.144 eV/atom

Cell lengths 5.6772, 5.9772, 8.6634 Å; angles 90.00, 90.00, 90.00 degrees
Fractional coordinates of all 12 atoms:
Na  0.2500  0.5000  0.1114
Na  0.2500  0.0000  0.3695
Na  0.7500  0.0000  0.6305
Na  0.7500  0.5000  0.8886
Zn  0.7500  0.5000  0.5344
Zn  0.2500  0.5000  0.4656
Cd  0.0000  0.0000  0.0000
Cd  0.5000  0.0000  0.0000
Cd  0.7500  0.2531  0.2611
Cd  0.7500  0.7469  0.2611
Cd  0.2500  0.2531  0.7389
Cd  0.2500  0.7469  0.7389

Entry 9:
Entry from Alexandria: a geometry-optimized NaZnCd2 structure (GGA-PBE).

Output
Total magnetic moment   0.000 μB/atom
SG   R-3m
Final energy   -1.095 eV/atom

Cell lengths 4.7200, 4.7200, 5.5989 Å; angles 65.07, 65.07, 60.00 degrees
Fractional coordinates of all 4 atoms:
Na  0.5000  0.5000  0.5000
Zn  0.0000  0.0000  0.0000
Cd  0.2803  0.2803  0.1592
Cd  0.7197  0.7197  0.8408

Entry 10:
Entry from Alexandria: a geometry-optimized Na2Zn3Cd9 structure (GGA-PBE).

Output
Total magnetic moment   0.000 μB/atom
SG   C2/c
Final energy   -1.081 eV/atom

Cell lengths 8.3355, 8.3355, 11.4019 Å; angles 88.99, 112.40, 120.17 degrees
Fractional coordinates of all 28 atoms:
Na  0.3329  0.2511  0.7517
Na  0.6671  0.7489  0.2483
Na  0.9994  0.5812  0.7483
Na  0.0006  0.4188  0.2517
Zn  0.5000  0.0000  0.0000
Zn  0.5000  0.5000  0.5000
Zn  0.8544  0.1790  0.5040
Zn  0.1456  0.8210  0.4960
Zn  0.1750  0.3504  0.9960
Zn  0.8250  0.6496  0.0040
Cd  0.4385  0.9206  0.7472
Cd  0.5615  0.0794  0.2528
Cd  0.6735  0.6913  0.7528
Cd  0.3265  0.3087  0.2472
Cd  0.4492  0.6421  0.9207
Cd  0.5508  0.3579  0.0793
Cd  0.2214  0.5285  0.5793
Cd  0.7786  0.4715  0.4207
Cd  0.8866  0.1366  0.7500
Cd  0.1134  0.8634  0.2500
Cd  0.1217  0.9759  0.9295
Cd  0.8783  0.0241  0.0705
Cd  0.5465  0.1922  0.5705
Cd  0.4535  0.8078  0.4295
Cd  0.8843  0.8579  0.5741
Cd  0.1157  0.1421  0.4259
Cd  0.7837  0.3102  0.9259
Cd  0.2163  0.6898  0.0741

Entry 11:
Entry from Alexandria: a geometry-optimized NaZrCd2 structure (GGA-PBE).

Output
Total magnetic moment   0.000 μB/atom
SG   P4/mmm
Final energy   -2.978 eV/atom

Cell lengths 3.1832, 3.1832, 9.2301 Å; angles 90.00, 90.00, 90.00 degrees
Fractional coordinates of all 4 atoms:
Na  0.5000  0.5000  0.5000
Zr  0.5000  0.5000  0.0000
Cd  0.0000  0.0000  0.7668
Cd  0.0000  0.0000  0.2332

Entry 12:
Entry from Alexandria: a geometry-optimized NaZr3Cd structure (GGA-PBE).

Output
Total magnetic moment   0.295 μB/atom
SG   Pm-3m
Final energy   -4.412 eV/atom

Cell lengths 5.3666, 5.3666, 5.3666 Å; angles 90.00, 90.00, 90.00 degrees
Fractional coordinates of all 5 atoms:
Na  0.5000  0.5000  0.5000
Zr  0.0000  0.5000  0.0000
Zr  0.0000  0.0000  0.5000
Zr  0.5000  0.0000  0.0000
Cd  0.0000  0.0000  0.0000

Entry 13:
Entry from Alexandria: a geometry-optimized Na3ZrCd structure (GGA-PBE).

Output
Total magnetic moment   0.929 μB/atom
SG   Pm-3m
Final energy   -1.523 eV/atom

Cell lengths 6.1892, 6.1892, 6.1892 Å; angles 90.00, 90.00, 90.00 degrees
Fractional coordinates of all 5 atoms:
Na  0.0000  0.5000  0.0000
Na  0.0000  0.0000  0.5000
Na  0.5000  0.0000  0.0000
Zr  0.0000  0.0000  0.0000
Cd  0.5000  0.5000  0.5000

Entry 14:
Entry from Alexandria: a geometry-optimized NaZrCd structure (GGA-PBE).

Output
Total magnetic moment   0.000 μB/atom
SG   Amm2
Final energy   -3.454 eV/atom

Cell lengths 3.1234, 3.0918, 17.2229 Å; angles 90.00, 90.00, 120.34 degrees
Fractional coordinates of all 6 atoms:
Cd  0.6122  0.2244  0.0000
Cd  0.2715  0.5431  0.5000
Na  0.6156  0.2312  0.3336
Na  0.6156  0.2312  0.6664
Zr  0.2758  0.5516  0.8446
Zr  0.2758  0.5516  0.1554

Entry 15:
Entry from Alexandria: a geometry-optimized NaZr3Cd structure (GGA-PBE).

Output
Total magnetic moment   0.000 μB/atom
SG   Pm-3m
Final energy   -4.270 eV/atom

Cell lengths 5.0150, 5.0150, 5.0150 Å; angles 90.00, 90.00, 90.00 degrees
Fractional coordinates of all 5 atoms:
Na  0.0000  0.0000  0.0000
Zr  0.0000  0.5000  0.0000
Zr  0.0000  0.0000  0.5000
Zr  0.5000  0.0000  0.0000
Cd  0.5000  0.5000  0.5000

Entry 16:
Entry from Alexandria: a geometry-optimized NaZr2Cd2 structure (GGA-PBE).

Output
Total magnetic moment   0.000 μB/atom
SG   P4/mbm
Final energy   -3.928 eV/atom

Cell lengths 9.0919, 9.0919, 2.9695 Å; angles 90.00, 90.00, 90.00 degrees
Fractional coordinates of all 10 atoms:
Na  0.0000  0.0000  0.0000
Na  0.5000  0.5000  0.0000
Zr  0.1212  0.6212  0.5000
Zr  0.6212  0.8788  0.5000
Zr  0.8788  0.3788  0.5000
Zr  0.3788  0.1212  0.5000
Cd  0.3268  0.8268  0.0000
Cd  0.8268  0.6732  0.0000
Cd  0.6732  0.1732  0.0000
Cd  0.1732  0.3268  0.0000

Entry 17:
Entry from Alexandria: a geometry-optimized NaZrCd2 structure (GGA-PBE).

Output
Total magnetic moment   0.122 μB/atom
SG   I-42d
Final energy   -2.501 eV/atom

Cell lengths 7.9033, 7.9033, 6.4533 Å; angles 52.24, 52.24, 90.00 degrees
Fractional coordinates of all 8 atoms:
Na  0.5000  0.5000  0.0000
Na  0.2500  0.7500  0.5000
Zr  0.0000  0.0000  0.0000
Zr  0.7500  0.2500  0.5000
Cd  0.6223  0.1250  0.2500
Cd  0.1277  0.6250  0.2500
Cd  0.3750  0.3777  0.7500
Cd  0.8750  0.8723  0.7500

Entry 18:
Entry from Alexandria: a geometry-optimized Na3ZrCd structure (GGA-PBE).

Output
Total magnetic moment   0.606 μB/atom
SG   Pm-3m
Final energy   -1.804 eV/atom

Cell lengths 5.5700, 5.5700, 5.5700 Å; angles 90.00, 90.00, 90.00 degrees
Fractional coordinates of all 5 atoms:
Na  0.0000  0.5000  0.0000
Na  0.0000  0.0000  0.5000
Na  0.5000  0.0000  0.0000
Zr  0.5000  0.5000  0.5000
Cd  0.0000  0.0000  0.0000

Entry 19:
Entry from Alexandria: a geometry-optimized NaZrCd2 structure (GGA-PBE).

Output
Total magnetic moment   0.000 μB/atom
SG   R-3m
Final energy   -2.913 eV/atom

Cell lengths 3.1409, 3.1409, 11.0206 Å; angles 81.81, 81.81, 60.00 degrees
Fractional coordinates of all 4 atoms:
Na  0.5000  0.5000  0.5000
Zr  0.0000  0.0000  0.0000
Cd  0.7475  0.7475  0.7575
Cd  0.2525  0.2525  0.2425

Entry 20:
Entry from Alexandria: a geometry-optimized NaZrCd2 structure (GGA-PBE).

Output
Total magnetic moment   0.041 μB/atom
SG   P4/mmm
Final energy   -2.935 eV/atom

Cell lengths 3.0923, 5.4445, 5.4445 Å; angles 90.00, 90.00, 90.00 degrees
Fractional coordinates of all 4 atoms:
Na  0.5000  0.5000  0.5000
Zr  0.5000  0.0000  0.0000
Cd  0.0000  0.0000  0.5000
Cd  0.0000  0.5000  0.0000

Entry 21:
Entry from Alexandria: a geometry-optimized NaZrCd2 structure (GGA-PBE).

Output
Total magnetic moment   0.000 μB/atom
SG   Fm-3m
Final energy   -2.827 eV/atom

Cell lengths 5.0318, 5.0318, 5.0318 Å; angles 60.00, 60.00, 60.00 degrees
Fractional coordinates of all 4 atoms:
Na  0.0000  0.0000  0.0000
Zr  0.5000  0.5000  0.5000
Cd  0.2500  0.2500  0.2500
Cd  0.7500  0.7500  0.7500

Entry 22:
Entry from Alexandria: a geometry-optimized NaZrCd4 structure (GGA-PBE).

Output
Total magnetic moment   0.000 μB/atom
SG   Pmmm
Final energy   -2.347 eV/atom

Cell lengths 3.1066, 4.9744, 8.6651 Å; angles 90.00, 90.02, 90.00 degrees
Fractional coordinates of all 6 atoms:
Na  0.5000  0.5000  0.5000
Zr  0.5000  0.0000  0.0000
Cd  0.0007  0.0000  0.6684
Cd  0.9999  0.5000  0.8377
Cd  0.9993  0.0000  0.3316
Cd  0.0001  0.5000  0.1623

Entry 23:
Entry from Alexandria: a geometry-optimized Nb3Cd structure (GGA-PBE).

Output
Total magnetic moment   0.000 μB/atom
SG   P4/mmm
Final energy   -7.619 eV/atom

Cell lengths 3.7113, 4.4853, 4.4854 Å; angles 90.00, 90.00, 90.00 degrees
Fractional coordinates of all 4 atoms:
Nb  0.0000  0.0000  0.9167
Nb  0.5000  0.0000  0.4167
Nb  0.5000  0.5000  0.9167
Cd  0.0000  0.5000  0.4167

Entry 24:
Entry from Alexandria: a geometry-optimized Nb5Cd structure (GGA-PBE).

Output
Total magnetic moment   0.000 μB/atom
SG   Cmmm
Final energy   -8.462 eV/atom

Cell lengths 3.4337, 4.7183, 7.2827 Å; angles 108.90, 90.00, 90.00 degrees
Fractional coordinates of all 6 atoms:
Nb  0.0000  0.6630  0.3259
Nb  0.0000  0.3370  0.6741
Nb  0.5000  0.5000  0.0000
Nb  0.5000  0.1758  0.3516
Nb  0.5000  0.8242  0.6484
Cd  0.0000  0.0000  0.0000

Number 1: mass density 5.0 g cm⁻³, energy of formation -0.031 eV/atom. Number 2: mass density 3.8 g cm⁻³, energy of formation 0.050 eV/atom. Number 3: mass density 6.3 g cm⁻³, energy of formation 0.027 eV/atom. Number 4: mass density 6.2 g cm⁻³, energy of formation 0.136 eV/atom. Number 5: mass density 5.1 g cm⁻³, energy of formation -0.007 eV/atom. Number 6: mass density 3.2 g cm⁻³, energy of formation -0.055 eV/atom. Number 7: mass density 5.3 g cm⁻³, energy of formation -0.031 eV/atom. Number 8: mass density 5.1 g cm⁻³, energy of formation -0.034 eV/atom. Number 9: mass density 5.5 g cm⁻³, energy of formation 0.011 eV/atom. Number 10: mass density 6.7 g cm⁻³, energy of formation -0.032 eV/atom. Number 11: mass density 6.0 g cm⁻³, energy of formation -0.054 eV/atom. Number 12: mass density 4.4 g cm⁻³, energy of formation 1.163 eV/atom. Number 13: mass density 1.9 g cm⁻³, energy of formation 1.161 eV/atom. Number 14: mass density 5.2 g cm⁻³, energy of formation 0.141 eV/atom. Number 15: mass density 5.4 g cm⁻³, energy of formation 1.305 eV/atom. Number 16: mass density 5.8 g cm⁻³, energy of formation 0.121 eV/atom. Number 17: mass density 5.6 g cm⁻³, energy of formation 0.423 eV/atom. Number 18: mass density 2.6 g cm⁻³, energy of formation 0.880 eV/atom. Number 19: mass density 6.1 g cm⁻³, energy of formation 0.012 eV/atom. Number 20: mass density 6.1 g cm⁻³, energy of formation -0.010 eV/atom. Number 21: mass density 6.2 g cm⁻³, energy of formation 0.097 eV/atom. Number 22: mass density 7.0 g cm⁻³, energy of formation -0.093 eV/atom. Number 23: mass density 8.7 g cm⁻³, energy of formation 0.162 eV/atom. Number 24: mass density 8.6 g cm⁻³, energy of formation 0.082 eV/atom.